[1]
# Cs2PaBr2Cl4, optimized geometry, DFT PBE-GGA
# energy relative to the elements, uncorrected	-17.3	eV/f.u.
data_Cs2PaBr2Cl4
_chemical_formula_sum 'Cs4 Pa2 Br4 Cl8'
_space_group_name_H-M_alt 'C 1 2/m 1'
_space_group_IT_number 12
_cell_length_a 13.7361
_cell_length_b 7.7490
_cell_length_c 6.4107
_cell_angle_alpha 90.00
_cell_angle_beta 91.10
_cell_angle_gamma 90.00
loop_
_space_group_symop_operation_xyz
'x,y,z'
'-x,-y,-z'
'-x,y,-z'
'x,-y,z'
'x+1/2,y+1/2,z'
'-x+1/2,-y+1/2,-z'
'-x+1/2,y+1/2,-z'
'x+1/2,-y+1/2,z'
loop_
_atom_site_label
_atom_site_type_symbol
_atom_site_fract_x
_atom_site_fract_y
_atom_site_fract_z
Cs1 Cs 0.1614 0.0000 0.2358
Pa1 Pa 0.0000 0.5000 0.5000
Br1 Br 0.1734 0.5000 0.2669
Cl1 Cl 0.0777 0.2533 0.7348


[2]
# Rb3MgCu2Cl9, optimized geometry, DFT PBE-GGA
# energy relative to the elements, uncorrected	-20.0	eV/f.u.
data_Rb3MgCu2Cl9
_chemical_formula_sum 'Rb3 Mg1 Cu2 Cl9'
_space_group_name_H-M_alt 'P -3 m 1'
_space_group_IT_number 164
_space_group_name_Hall '-P 3 2"'
_cell_length_a 7.0143
_cell_length_b 7.0143
_cell_length_c 8.6121
_cell_angle_alpha 90.00
_cell_angle_beta 90.00
_cell_angle_gamma 120.00
loop_
_atom_site_label
_atom_site_type_symbol
_atom_site_fract_x
_atom_site_fract_y
_atom_site_fract_z
Rb1 Rb 0.0000 0.0000 0.0000
Rb2 Rb 0.3333 0.6667 0.6640
Mg1 Mg 0.0000 0.0000 0.5000
Cu1 Cu 0.3333 0.6667 0.1595
Cl1 Cl 0.0000 0.5000 0.0000
Cl2 Cl 0.1687 0.3373 0.3285


[3]
# TaPd2Pt4, optimized geometry, DFT PBE-GGA
# formation enthalpy at 0 K	-418	meV per atom
data_TaPd2Pt4
_chemical_formula_sum 'Ta2 Pd4 Pt8'
_space_group_name_H-M_alt 'C 1 2/m 1'
_space_group_IT_number 12
_cell_length_a 8.9261
_cell_length_b 3.9555
_cell_length_c 6.2875
_cell_angle_alpha 90.00
_cell_angle_beta 98.13
_cell_angle_gamma 90.00
loop_
_space_group_symop_operation_xyz
'x,y,z'
'-x,-y,-z'
'-x,y,-z'
'x,-y,z'
'x+1/2,y+1/2,z'
'-x+1/2,-y+1/2,-z'
'-x+1/2,y+1/2,-z'
'x+1/2,-y+1/2,z'
loop_
_atom_site_label
_atom_site_type_symbol
_atom_site_fract_x
_atom_site_fract_y
_atom_site_fract_z
Ta1 Ta 0.0000 0.0000 0.0000
Pd1 Pd 0.2142 0.5000 0.1367
Pt1 Pt 0.0675 0.5000 0.7179
Pt2 Pt 0.1452 0.0000 0.4207


[4]
# Ba6NaGa2, optimized geometry, DFT PBE-GGA
# formation enthalpy at 0 K	-155	meV per atom
data_Ba6NaGa2
_chemical_formula_sum 'Ba24 Na4 Ga8'
_space_group_name_H-M_alt 'I m m m'
_space_group_IT_number 71
_space_group_name_Hall '-I 2 2'
_cell_length_a 11.2315
_cell_length_b 12.1271
_cell_length_c 12.7773
_cell_angle_alpha 90.00
_cell_angle_beta 90.00
_cell_angle_gamma 90.00
loop_
_atom_site_label
_atom_site_type_symbol
_atom_site_fract_x
_atom_site_fract_y
_atom_site_fract_z
Ba1 Ba 0.0000 0.2192 0.2244
Ba2 Ba 0.1890 0.5000 0.1768
Ba3 Ba 0.2028 0.3165 0.5000
Na1 Na 0.0000 0.0000 0.0000
Na2 Na 0.0000 0.0000 0.5000
Ga1 Ga 0.0000 0.3691 0.0000
Ga2 Ga 0.0000 0.5000 0.3895


[5]
# ZnInPtRh, optimized geometry, DFT PBE-GGA
# formation enthalpy at 0 K	-429	meV per atom
# relative energy among the computed polymorphs	0.038	eV/atom
data_ZnInPtRh
_chemical_formula_sum 'Zn4 In4 Pt4 Rh4'
_space_group_name_H-M_alt 'F -4 3 m'
_space_group_IT_number 216
_space_group_name_Hall 'F -4 2 3'
_cell_length_a 6.3390
_cell_length_b 6.3390
_cell_length_c 6.3390
_cell_angle_alpha 90.00
_cell_angle_beta 90.00
_cell_angle_gamma 90.00
loop_
_atom_site_label
_atom_site_type_symbol
_atom_site_fract_x
_atom_site_fract_y
_atom_site_fract_z
Zn1 Zn 0.0000 0.0000 0.0000
In1 In 0.0000 0.0000 0.5000
Pt1 Pt 0.2500 0.2500 0.7500
Rh1 Rh 0.2500 0.2500 0.2500


[6]
# AcSnAu4, optimized geometry, DFT PBE-GGA
# formation enthalpy at 0 K	-430	meV per atom
# relative energy among the computed polymorphs	0.021	eV/atom
data_AcSnAu4
_chemical_formula_sum 'Ac4 Sn4 Au16'
_space_group_name_H-M_alt 'C m c m'
_space_group_IT_number 63
_space_group_name_Hall '-C 2c 2'
_cell_length_a 5.2702
_cell_length_b 15.3459
_cell_length_c 7.3429
_cell_angle_alpha 90.00
_cell_angle_beta 90.00
_cell_angle_gamma 90.00
loop_
_atom_site_label
_atom_site_type_symbol
_atom_site_fract_x
_atom_site_fract_y
_atom_site_fract_z
Ac1 Ac 0.0000 0.1145 0.2500
Sn1 Sn 0.0000 0.3644 0.2500
Au1 Au 0.0000 0.0886 0.7500
Au2 Au 0.0000 0.2740 0.5673
Au3 Au 0.0000 0.5000 0.0000


[7]
# Nd2MgCo, optimized geometry, DFT PBE-GGA
# formation enthalpy at 0 K	-85	meV per atom
# relative energy among the computed polymorphs	0.000	eV/atom
data_Nd2MgCo
_chemical_formula_sum 'Nd8 Mg4 Co4'
_space_group_name_H-M_alt 'C 1 2/m 1'
_space_group_IT_number 12
_cell_length_a 13.7885
_cell_length_b 3.7856
_cell_length_c 8.0126
_cell_angle_alpha 90.00
_cell_angle_beta 95.58
_cell_angle_gamma 90.00
loop_
_space_group_symop_operation_xyz
'x,y,z'
'-x,-y,-z'
'-x,y,-z'
'x,-y,z'
'x+1/2,y+1/2,z'
'-x+1/2,-y+1/2,-z'
'-x+1/2,y+1/2,-z'
'x+1/2,-y+1/2,z'
loop_
_atom_site_label
_atom_site_type_symbol
_atom_site_fract_x
_atom_site_fract_y
_atom_site_fract_z
Nd1 Nd 0.0391 0.0000 0.2975
Nd2 Nd 0.2286 0.0000 0.6856
Mg1 Mg 0.1177 0.5000 0.9531
Co1 Co 0.0945 0.5000 0.5791


[8]
# Sm2YHo, optimized geometry, DFT PBE-GGA
# formation enthalpy at 0 K	19	meV per atom
# relative energy among the computed polymorphs	0.005	eV/atom
data_Sm2YHo
_chemical_formula_sum 'Sm2 Y1 Ho1'
_space_group_name_H-M_alt 'P 4/m m m'
_space_group_IT_number 123
_space_group_name_Hall '-P 4 2'
_cell_length_a 3.5900
_cell_length_b 3.5900
_cell_length_c 10.1384
_cell_angle_alpha 90.00
_cell_angle_beta 90.00
_cell_angle_gamma 90.00
loop_
_atom_site_label
_atom_site_type_symbol
_atom_site_fract_x
_atom_site_fract_y
_atom_site_fract_z
Sm1 Sm 0.0000 0.0000 0.2482
Y1 Y 0.5000 0.5000 0.5000
Ho1 Ho 0.5000 0.5000 0.0000


Number 4 is which compound? Ba6NaGa2


Number 8 is which compound? Sm2YHo